A plane-wave DFT calculation with PBEsol was carried out for an optimized crystal structure of NaZn2B5H20.

Results
Electronic total energy   -3.86 eV per atom
N(E_F)   0.0 states/eV per cell

Cell and atoms, written as CIF:
```
data_NaZn2B5H20
_chemical_formula_sum 'Na4 Zn8 B20 H80'
_cell_length_a 8.349
_cell_length_b 16.561
_cell_length_c 9.047
_cell_angle_alpha 90.00
_cell_angle_beta 112.16
_cell_angle_gamma 90.00
_space_group_name_H-M_alt 'P 1 21/c 1'
_space_group_IT_number 14
_space_group_name_Hall '-P 2ybc'
loop_
_atom_site_label
_atom_site_fract_x
_atom_site_fract_y
_atom_site_fract_z
_atom_site_occupancy
Na1 0.191 0.065 0.304 1
Zn1 0.226 0.721 0.894 1
Zn2 0.337 0.121 0.858 1
B1 0.024 0.691 0.304 1
B2 0.224 0.594 0.857 1
B3 0.249 0.099 0.608 1
B4 0.286 0.071 0.055 1
B5 0.462 0.715 0.547 1
H1 0.059 0.726 0.437 1
H2 0.073 0.621 0.333 1
H3 0.088 0.564 0.771 1
H4 0.097 0.720 0.216 1
H5 0.126 0.057 0.532 1
H6 0.129 0.204 0.267 1
H7 0.176 0.022 0.049 1
H8 0.185 0.154 0.665 1
H9 0.196 0.624 0.973 1
H10 0.201 0.130 0.972 1
H11 0.266 0.642 0.771 1
H12 0.329 0.132 0.538 1
H13 0.349 0.550 0.918 1
H14 0.354 0.052 0.708 1
H15 0.378 0.099 0.184 1
H16 0.383 0.035 0.000 1
H17 0.386 0.745 0.115 1
H18 0.387 0.238 0.893 1
H19 0.424 0.725 0.401 1
H20 0.426 0.643 0.564 1
```